# 1
VASP calculation (PBE-GGA) on an optimized crystal structure of Sc4ZnCoNi2.

The structure belongs to space group R-3m (No. 166, hexagonal axes); the cell edges are 4.5275, 4.5275 and 22.2448 Å and the angles 90.00°, 90.00° and 120.00°. The asymmetric unit holds Sc at (0.0000, 0.0000, 0.1196), Sc at (0.0000, 0.0000, 0.3708), Zn at (0.0000, 0.0000, 0.5000), Co at (0.0000, 0.0000, 0.0000) and Ni at (0.0000, 0.0000, 0.2499).

Its density of states at the Fermi level is 13.12 states/eV/cell. The calculation puts the formation energy at -0.43 eV/atom. Its crystal system is trigonal.

---

# 2
VASP calculation (PBE-GGA) on an optimized crystal structure of Pm3CoTe.

The structure belongs to space group P2_1/m (No. 11); the cell edges are 8.263, 4.019 and 8.736 Å and the angles 90.00°, 105.36° and 90.00°. The asymmetric unit holds Pm at (0.071, 0.250, 0.253), Pm at (0.303, 0.250, 0.934), Pm at (0.312, 0.750, 0.590), Co at (0.053, 0.250, 0.574) and Te at (0.387, 0.750, 0.236).

Its density of states at the Fermi level is 10.18 states/eV/cell. Its energy relative to the lowest polymorph listed for this composition is 0.00 eV/f.u. Its crystal system is monoclinic. The formation energy without anion corrections comes out at -0.61 eV per atom.

---

# 3
VASP calculation (PBE-GGA) on an optimized crystal structure of SiPHS.

The structure belongs to space group P1 (No. 1); the cell edges are 3.126, 3.753 and 6.964 Å and the angles 78.61°, 79.60° and 73.31°. The asymmetric unit holds Si at (0.000, 0.000, 0.000), P at (0.075, 0.114, 0.672), H at (0.920, 0.512, 0.678) and S at (0.583, 0.604, 0.130).

Its density of states at the Fermi level is 0.78 states/eV/cell. Its energy relative to the lowest polymorph listed for this composition is 1.09 eV/f.u. Its crystal system is triclinic.

---

# 4
VASP calculation (PBE-GGA) on an optimized crystal structure of La2InH.

The structure belongs to space group P-3m1 (No. 164); the cell edges are 5.2398, 5.2398 and 8.8252 Å and the angles 90.00°, 90.00° and 120.00°. The asymmetric unit holds La at (0.3333, 0.6667, 0.3699), La at (0.3333, 0.6667, 0.9128), In at (0.0000, 0.0000, 0.1896) and H at (0.3333, 0.6667, 0.6406).

Its density of states at the Fermi level is 3.05 states/eV/cell. Its energy relative to the lowest polymorph listed for this composition is 0.61 eV/f.u. Its crystal system is trigonal.

---

# 5
VASP calculation (PBE-GGA) on an optimized crystal structure of RbAsAu3.

The structure belongs to space group P2_1 (No. 4); the cell edges are 6.549, 6.814 and 7.327 Å and the angles 90.00°, 90.05° and 90.00°. The asymmetric unit holds Rb at (0.093, 0.000, 0.250), As at (0.423, 0.555, 0.250), Au at (0.409, 0.717, 0.750), Au at (0.412, 0.367, 0.562) and Au at (0.412, 0.367, 0.938).

Its density of states at the Fermi level is 2.97 states/eV/cell. The calculation puts the formation energy at -0.12 eV/atom. Its energy relative to the lowest polymorph listed for this composition is 0.00 eV/f.u. Its crystal system is monoclinic.

---

# 6
VASP calculation (PBE-GGA) on an optimized crystal structure of ThGa4Co4.

The structure belongs to space group I4/m (No. 87); the cell edges are 8.000, 8.000 and 4.328 Å and the angles 90.00°, 90.00° and 90.00°. The asymmetric unit holds Th at (0.000, 0.000, 0.000), Ga at (0.149, 0.729, 0.500) and Co at (0.092, 0.615, 0.000).

Its density of states at the Fermi level is 15.37 states/eV/cell. The calculation puts the formation energy at -0.28 eV/atom. Its crystal system is tetragonal.

---

# 7
VASP calculation (PBE-GGA) on an optimized crystal structure of NiHgMo.

The structure belongs to space group Cm (No. 8); the cell edges are 4.650, 3.054 and 7.008 Å and the angles 90.00°, 103.15° and 90.00°. The asymmetric unit holds Ni at (0.000, 0.000, 0.000), Hg at (0.489, 0.000, 0.336) and Mo at (0.276, 0.000, 0.714).

Its density of states at the Fermi level is 4.40 states/eV/cell. The calculation puts the formation energy at 0.40 eV/atom. Its energy relative to the lowest polymorph listed for this composition is 0.47 eV/f.u. Its crystal system is monoclinic.

---

# 8
VASP calculation (PBE-GGA) on an optimized crystal structure of Ca2IrPb.

The structure belongs to space group P4/mmm (No. 123); the cell edges are 4.978, 4.978 and 3.881 Å and the angles 90.00°, 90.00° and 90.00°. The asymmetric unit holds Ca at (0.000, 0.500, 0.000), Ir at (0.000, 0.000, 0.500) and Pb at (0.500, 0.500, 0.500).

Its density of states at the Fermi level is 1.64 states/eV/cell. The calculation puts the formation energy at -0.21 eV/atom. Its crystal system is tetragonal.

---

# 9
VASP calculation (PBE-GGA) on an optimized crystal structure of NaBH3.

The structure belongs to space group Cmcm (No. 63); the cell edges are 3.251, 8.173 and 7.599 Å and the angles 90.00°, 90.00° and 90.00°. The asymmetric unit holds Na at (0.000, 0.000, 0.000), B at (0.000, 0.382, 0.250), H at (0.000, 0.308, 0.112) and H at (0.000, 0.469, 0.750).

Its density of states at the Fermi level is 2.42 states/eV/cell. Its energy relative to the lowest polymorph listed for this composition is 1.14 eV/f.u. Its crystal system is orthorhombic.

---

# 10
VASP calculation (PBE-GGA) on an optimized crystal structure of Li2InCl.

The structure belongs to space group Cmmm (No. 65); the cell edges are 3.557, 5.717 and 8.190 Å and the angles 90.00°, 90.00° and 90.00°. The asymmetric unit holds Li at (0.000, 0.000, 0.197), In at (0.000, 0.500, 0.500) and Cl at (0.000, 0.500, 0.000).

Its density of states at the Fermi level is 1.92 states/eV/cell. Its energy relative to the lowest polymorph listed for this composition is 0.23 eV/f.u. Its crystal system is orthorhombic. The formation energy without anion corrections comes out at -0.85 eV per atom.

---

What did the ninth record say?
VASP calculation (PBE-GGA) on an optimized crystal structure of NaBH3.

The structure belongs to space group Cmcm (No. 63); the cell edges are 3.251, 8.173 and 7.599 Å and the angles 90.00°, 90.00° and 90.00°. The asymmetric unit holds Na at (0.000, 0.000, 0.000), B at (0.000, 0.382, 0.250), H at (0.000, 0.308, 0.112) and H at (0.000, 0.469, 0.750).

Its density of states at the Fermi level is 2.42 states/eV/cell. Its energy relative to the lowest polymorph listed for this composition is 1.14 eV/f.u. Its crystal system is orthorhombic.

---

Question: Which formula does entry 5 have?
Answer: RbAsAu3